The following is a PBE calculation of a relaxed Zr2InSe crystal, from Alexandria.

Unit cell a=5.1029 b=3.4192 c=5.5774 alpha=72.09 beta=90.00 gamma=90.00
Last column: nearest neighbours and their distance in Å.
Sites, in units of the cell vectors:
In1 0.0000 0.5864 0.4528  3 Zr 2.84-3.00
Se1 0.5000 0.8831 0.8598  4 Zr 2.57-2.77
Zr1 0.0000 0.8532 0.9175  2 Se 2.57, 1 In 2.84
Zr2 0.5000 0.1773 0.2699  2 Se 2.77

Crystal system: orthorhombic
Formation energy (no corrections): -0.54 eV per atom
Uncorrected energy: -6.373 eV per atom
Mass density: 6.7 Mg/m³
Space group: No. 38